Entry 1:
{
  "formula": "LuThZnCr",
  "functional": "PBE",
  "state": "optimized geometry",
  "lattice": [[0.0000, 3.5730, 3.5730], [3.5730, 0.0000, 3.5730], [3.5730, 3.5730, 0.0000]],
  "species": ["Lu", "Th", "Zn", "Cr"],
  "fractional_positions": [[0.0000, 0.0000, 0.0000], [0.5000, 0.5000, 0.5000], [0.7500, 0.7500, 0.7500], [0.2500, 0.2500, 0.2500]],
  "dft_energy_ev_per_atom": -5.63,
  "formation_enthalpy_0k_mev_per_atom": 77
}


Entry 2:
{
  "formula": "Dy2AlZn2Pt5",
  "functional": "PBE",
  "state": "optimized geometry",
  "lattice": [[9.6652, 0.0000, 0.0000], [0.0000, 9.6652, 0.0000], [0.0000, 0.0000, 3.7259]],
  "species": ["Dy", "Dy", "Dy", "Dy", "Al", "Al", "Zn", "Zn", "Zn", "Zn", "Pt", "Pt", "Pt", "Pt", "Pt", "Pt", "Pt", "Pt", "Pt", "Pt"],
  "fractional_positions": [[0.1744, 0.3256, 0.0000], [0.3256, 0.8256, 0.0000], [0.6744, 0.1744, 0.0000], [0.8256, 0.6744, 0.0000], [0.0000, 0.0000, 0.0000], [0.5000, 0.5000, 0.0000], [0.1243, 0.6243, 0.0000], [0.3757, 0.1243, 0.0000], [0.6243, 0.8757, 0.0000], [0.8757, 0.3757, 0.0000], [0.0000, 0.5000, 0.5000], [0.0626, 0.8000, 0.5000], [0.2000, 0.0626, 0.5000], [0.3000, 0.5626, 0.5000], [0.4374, 0.3000, 0.5000], [0.5000, 0.0000, 0.5000], [0.5626, 0.7000, 0.5000], [0.7000, 0.4374, 0.5000], [0.8000, 0.9374, 0.5000], [0.9374, 0.2000, 0.5000]],
  "dft_energy_ev_per_atom": -5.48,
  "formation_enthalpy_0k_mev_per_atom": -906
}


Entry 3:
{
  "formula": "Ac2Ga4CuAu3",
  "functional": "PBE",
  "state": "optimized geometry",
  "lattice": [[4.5483, 0.0000, 0.0000], [0.0000, 4.5483, 0.0000], [0.0000, 0.0000, 10.5567]],
  "species": ["Ac", "Ac", "Ga", "Ga", "Ga", "Ga", "Cu", "Au", "Au", "Au"],
  "fractional_positions": [[0.0000, 0.5000, 0.2441], [0.5000, 0.0000, 0.7559], [0.0000, 0.0000, 0.5000], [0.0000, 0.5000, 0.8785], [0.5000, 0.0000, 0.1215], [0.5000, 0.5000, 0.5000], [0.5000, 0.5000, 0.0000], [0.0000, 0.0000, 0.0000], [0.0000, 0.5000, 0.6326], [0.5000, 0.0000, 0.3674]],
  "dft_energy_ev_per_atom": -4.04,
  "formation_enthalpy_0k_mev_per_atom": -612
}


Entry 4:
{
  "formula": "TlHg3Rh",
  "functional": "PBE",
  "state": "optimized geometry",
  "lattice": [[5.2750, 0.0000, 0.0000], [0.0000, 5.2750, 0.0000], [0.0000, 0.0000, 5.2750]],
  "species": ["Tl", "Hg", "Hg", "Hg", "Rh"],
  "fractional_positions": [[0.0000, 0.0000, 0.0000], [0.0000, 0.5000, 0.5000], [0.5000, 0.0000, 0.5000], [0.5000, 0.5000, 0.0000], [0.5000, 0.5000, 0.5000]],
  "dft_energy_ev_per_atom": -2.02,
  "formation_enthalpy_0k_mev_per_atom": 101,
  "e_above_lowest_polymorph_mev_per_atom": 0
}


Entry 5:
{
  "formula": "Dy4NiTe",
  "functional": "PBE",
  "state": "optimized geometry",
  "lattice": [[8.2944, 0.0000, 0.0000], [0.0000, 3.8530, 0.0000], [0.0000, 0.0000, 19.4878]],
  "species": ["Dy", "Dy", "Dy", "Dy", "Dy", "Dy", "Dy", "Dy", "Dy", "Dy", "Dy", "Dy", "Dy", "Dy", "Dy", "Dy", "Ni", "Ni", "Ni", "Ni", "Te", "Te", "Te", "Te"],
  "fractional_positions": [[0.0246, 0.2500, 0.0684], [0.0460, 0.7500, 0.2177], [0.1334, 0.7500, 0.6495], [0.1476, 0.7500, 0.4518], [0.3524, 0.2500, 0.9518], [0.3666, 0.2500, 0.1495], [0.4540, 0.2500, 0.7177], [0.4754, 0.7500, 0.5684], [0.5246, 0.2500, 0.4316], [0.5460, 0.7500, 0.2823], [0.6334, 0.7500, 0.8505], [0.6476, 0.7500, 0.0482], [0.8524, 0.2500, 0.5482], [0.8666, 0.2500, 0.3505], [0.9540, 0.2500, 0.7823], [0.9754, 0.7500, 0.9316], [0.2263, 0.2500, 0.5521], [0.2737, 0.7500, 0.0521], [0.7263, 0.2500, 0.9479], [0.7737, 0.7500, 0.4479], [0.2473, 0.2500, 0.3153], [0.2527, 0.7500, 0.8153], [0.7473, 0.2500, 0.1847], [0.7527, 0.7500, 0.6847]],
  "dft_energy_ev_per_atom": -5.15,
  "e_above_lowest_polymorph_mev_per_atom": 0
}


Entry 6:
{
  "formula": "LiCu2Cl",
  "functional": "PBE",
  "state": "optimized geometry",
  "lattice": [[3.4072, 0.0000, 0.0000], [0.0000, 3.4072, 0.0000], [0.0000, 0.0000, 5.1584]],
  "species": ["Li", "Cu", "Cu", "Cl"],
  "fractional_positions": [[0.0000, 0.0000, 0.0000], [0.5000, 0.5000, 0.2276], [0.5000, 0.5000, 0.7724], [0.0000, 0.0000, 0.5000]],
  "dft_energy_ev_per_atom": -3.08,
  "e_above_lowest_polymorph_mev_per_atom": 356
}


Entry 7:
{
  "formula": "CeSmDyZr",
  "functional": "PBE",
  "state": "optimized geometry",
  "lattice": [[0.0000, 3.8663, 3.8663], [3.8663, 0.0000, 3.8663], [3.8663, 3.8663, 0.0000]],
  "species": ["Ce", "Sm", "Dy", "Zr"],
  "fractional_positions": [[0.0000, 0.0000, 0.0000], [0.5000, 0.5000, 0.5000], [0.7500, 0.7500, 0.7500], [0.2500, 0.2500, 0.2500]],
  "dft_energy_ev_per_atom": -5.72,
  "formation_enthalpy_0k_mev_per_atom": 233
}


Entry 8:
{
  "formula": "TbCe3Bi3",
  "functional": "PBE",
  "state": "optimized geometry",
  "lattice": [[3.9528, 2.2821, 8.4724], [-3.9528, 2.2821, 8.4724], [0.0000, -4.5643, 8.4724]],
  "species": ["Tb", "Tb", "Ce", "Ce", "Ce", "Ce", "Ce", "Ce", "Bi", "Bi", "Bi", "Bi", "Bi", "Bi"],
  "fractional_positions": [[0.1658, 0.1658, 0.1658], [0.8342, 0.8342, 0.8342], [0.0141, 0.3285, 0.7506], [0.2494, 0.9859, 0.6715], [0.3285, 0.7506, 0.0141], [0.6715, 0.2494, 0.9859], [0.7506, 0.0141, 0.3285], [0.9859, 0.6715, 0.2494], [0.1317, 0.7212, 0.4540], [0.2788, 0.5460, 0.8683], [0.4540, 0.1317, 0.7212], [0.5460, 0.8683, 0.2788], [0.7212, 0.4540, 0.1317], [0.8683, 0.2788, 0.5460]],
  "dft_energy_ev_per_atom": -5.24,
  "formation_enthalpy_0k_mev_per_atom": -369
}


Entry 9:
{
  "formula": "KAu2Br4",
  "functional": "PBE",
  "state": "optimized geometry",
  "lattice": [[8.2143, 0.0000, 0.0000], [-3.8693, 7.2542, 0.0000], [-1.0663, -1.8229, 8.9215]],
  "species": ["K", "K", "Au", "Au", "Au", "Au", "Br", "Br", "Br", "Br", "Br", "Br", "Br", "Br"],
  "fractional_positions": [[0.1208, 0.3756, 0.2486], [0.8792, 0.6244, 0.7514], [0.0000, 0.0000, 0.5000], [0.5000, 0.0000, 0.0000], [0.5000, 0.0000, 0.5000], [0.5000, 0.5000, 0.0000], [0.2109, 0.7111, 0.5309], [0.2122, 0.7129, 0.0336], [0.2857, 0.1692, 0.9869], [0.3312, 0.2125, 0.5111], [0.6688, 0.7875, 0.4889], [0.7143, 0.8308, 0.0131], [0.7878, 0.2871, 0.9664], [0.7891, 0.2889, 0.4691]],
  "dft_energy_ev_per_atom": -2.59
}


Entry 10:
{
  "formula": "LaFeRu2",
  "functional": "PBE",
  "state": "optimized geometry",
  "lattice": [[4.5971, 0.0000, 0.0000], [0.0000, 4.5971, 0.0000], [0.0000, 0.0000, 3.3556]],
  "species": ["La", "Fe", "Ru", "Ru"],
  "fractional_positions": [[0.0000, 0.0000, 0.0000], [0.5000, 0.5000, 0.0000], [0.0000, 0.5000, 0.5000], [0.5000, 0.0000, 0.5000]],
  "dft_energy_ev_per_atom": -7.63,
  "formation_enthalpy_0k_mev_per_atom": 354,
  "e_above_lowest_polymorph_mev_per_atom": 272
}


Entry 11:
{
  "formula": "Pm2BO4",
  "functional": "PBE",
  "state": "optimized geometry",
  "lattice": [[5.5195, 0.0000, 0.0000], [0.0000, 5.0948, 0.0000], [-1.6640, 0.0000, 6.2764]],
  "species": ["Pm", "Pm", "Pm", "Pm", "B", "B", "O", "O", "O", "O", "O", "O", "O", "O"],
  "fractional_positions": [[0.2319, 0.2500, 0.4458], [0.2561, 0.2500, 0.9497], [0.7439, 0.7500, 0.0503], [0.7681, 0.7500, 0.5542], [0.2899, 0.7500, 0.2079], [0.7101, 0.2500, 0.7921], [0.1061, 0.7500, 0.3517], [0.1482, 0.7500, 0.9774], [0.4604, 0.5203, 0.2561], [0.4604, 0.9797, 0.2561], [0.5396, 0.0203, 0.7439], [0.5396, 0.4797, 0.7439], [0.8518, 0.2500, 0.0226], [0.8939, 0.2500, 0.6483]],
  "dft_energy_ev_per_atom": -7.95
}


Entry 12:
{
  "formula": "Ac2Mg3AlIn4",
  "functional": "PBE",
  "state": "optimized geometry",
  "lattice": [[4.7069, 0.0000, 0.0000], [0.0000, 4.7069, 0.0000], [0.0000, 0.0000, 12.1971]],
  "species": ["Ac", "Ac", "Mg", "Mg", "Mg", "Al", "In", "In", "In", "In"],
  "fractional_positions": [[0.0000, 0.5000, 0.2482], [0.5000, 0.0000, 0.7518], [0.0000, 0.0000, 0.0000], [0.0000, 0.5000, 0.6376], [0.5000, 0.0000, 0.3624], [0.5000, 0.5000, 0.0000], [0.0000, 0.0000, 0.5000], [0.0000, 0.5000, 0.8638], [0.5000, 0.0000, 0.1362], [0.5000, 0.5000, 0.5000]],
  "dft_energy_ev_per_atom": -3.08,
  "formation_enthalpy_0k_mev_per_atom": -307
}


no.,calculated density (g/cm³)
1,9.5
2,13.9
3,10.5
4,10.3
5,8.9
6,4.7
7,7.8
8,8.7
9,4.7
10,9.3
11,6.9
12,6.2